1.
Nd2Zn5Rh5 | PBE-GGA | optimized geometry

Cell lengths 4.0204, 5.6202, 9.2422 Å; angles 90.00, 90.00, 90.00 degrees
Last column: nearest neighbours and their distance in Å.
Fractional positions:
Nd (0.0000, 0.0000, 0.0000)  6 Zn 3.04-3.21
Nd (0.0000, 0.5000, 0.5000)  6 Zn 3.07-3.22, 8 Rh 3.31
Zn (0.0000, 0.0000, 0.3289)  4 Rh 2.54, 2 Zn 2.56
Zn (0.0000, 0.0000, 0.6711)  4 Rh 2.54, 2 Zn 2.56
Zn (0.0000, 0.5000, 0.1679)  6 Rh 2.54-2.58
Zn (0.0000, 0.5000, 0.8321)  6 Rh 2.54-2.58
Zn (0.5000, 0.0000, 0.5000)  4 Zn 2.56, 4 Rh 2.64
Rh (0.5000, 0.2524, 0.2585)  5 Zn 2.54-2.64, 3 Rh 2.77-2.84
Rh (0.5000, 0.2524, 0.7415)  5 Zn 2.54-2.64, 3 Rh 2.77-2.84
Rh (0.5000, 0.5000, 0.0000)  4 Zn 2.54, 4 Rh 2.77
Rh (0.5000, 0.7476, 0.2585)  5 Zn 2.54-2.64, 3 Rh 2.77-2.84
Rh (0.5000, 0.7476, 0.7415)  5 Zn 2.54-2.64, 3 Rh 2.77-2.84

The space group is Pmmm (47). Its mass density is 8.99 Mg/m³. As for the raw total energy: -4.916 eV per atom. For the density of states at the Fermi level, the calculation gives 8.1 states/eV/cell.


2.
NaGa2Hg2 | PBE-GGA | optimized geometry

Cell lengths 8.2315, 8.2315, 3.4566 Å; angles 90.00, 90.00, 90.00 degrees
Last column: nearest neighbours and their distance in Å.
Fractional positions:
Na (0.0000, 0.0000, 0.0000)  4 Ga 3.28, 2 Na 3.46, 8 Hg 3.49
Na (0.5000, 0.5000, 0.0000)  4 Ga 3.28, 2 Na 3.46, 8 Hg 3.49
Ga (0.1201, 0.3799, 0.0000)  1 Ga 2.80, 6 Hg 2.91-3.04
Ga (0.3799, 0.8799, 0.0000)  1 Ga 2.80, 6 Hg 2.91-3.04
Ga (0.6201, 0.1201, 0.0000)  1 Ga 2.80, 6 Hg 2.91-3.04
Ga (0.8799, 0.6201, 0.0000)  1 Ga 2.80, 6 Hg 2.91-3.04
Hg (0.1787, 0.6787, 0.5000)  6 Ga 2.91-3.04
Hg (0.3213, 0.1787, 0.5000)  6 Ga 2.91-3.04
Hg (0.6787, 0.8213, 0.5000)  6 Ga 2.91-3.04
Hg (0.8213, 0.3213, 0.5000)  6 Ga 2.91-3.04

The space group is P4/mbm (127). Its mass density is 7.99 Mg/m³. As for the raw total energy: -1.644 eV per atom. For the density of states at the Fermi level, the calculation gives 3.1 states/eV/cell.


3.
TbCe2Ag6 | PBE-GGA | optimized geometry

Cell lengths 8.4891, 8.4891, 3.2360 Å; angles 90.00, 90.00, 120.00 degrees
Last column: nearest neighbours and their distance in Å.
Fractional positions:
Tb (0.0000, 0.0000, 0.0000)  2 Tb 3.24, 12 Ag 3.24
Ce (0.3333, 0.6667, 0.0000)  2 Ce 3.24, 12 Ag 3.27
Ce (0.6667, 0.3333, 0.0000)  2 Ce 3.24, 12 Ag 3.27
Ag (0.0000, 0.3310, 0.5000)  3 Ag 2.81-2.87
Ag (0.0000, 0.6690, 0.5000)  3 Ag 2.81-2.87
Ag (0.3310, 0.0000, 0.5000)  3 Ag 2.81-2.87
Ag (0.3310, 0.3310, 0.5000)  3 Ag 2.81-2.87
Ag (0.6690, 0.0000, 0.5000)  3 Ag 2.81-2.87
Ag (0.6690, 0.6690, 0.5000)  3 Ag 2.81-2.87

The space group is P6/mmm (191). Its mass density is 8.93 Mg/m³. As for the raw total energy: -3.922 eV per atom. For the density of states at the Fermi level, the calculation gives 15.3 states/eV/cell.